Entry 1:
Here is Tb3SmPb2C after structural relaxation from Alexandria via LeMat-Bulk. Energies are from PBE.

Summary:
* E_form: -496 meV per atom
* total magnetic moment: 0.00 μB per cell
* final energy: -38.720 eV/cell
* density of states at the Fermi level: 0.10 states/eV/atom

Unit cell a=4.936 b=4.869 c=8.817 alpha=106.03 beta=106.25 gamma=90.00
Element x y z (fractional)
Sm (0.500, 0.000, 0.000)
Tb (0.000, 0.500, 0.000)
Tb (0.842, 0.842, 0.684)
Tb (0.158, 0.158, 0.316)
Pb (0.643, 0.643, 0.285)
Pb (0.357, 0.357, 0.715)
C (0.000, 0.000, 0.000)

***

Entry 2:
Here is TlCrIn2 after structural relaxation from Alexandria via LeMat-Bulk. Energies are from PBE.

Summary:
* E_form: 461 meV per atom
* total magnetic moment: 8.18 μB per cell
* final energy: -31.241 eV/cell
* density of states at the Fermi level: 0.58 states/eV/atom

Unit cell a=8.384 b=8.384 c=6.637 alpha=50.83 beta=50.83 gamma=90.00
Site moments in Bohr magnetons follow the coordinates.
Element x y z (fractional)
Tl (0.750, 0.250, 0.500)  -0.02
Tl (0.000, 0.000, 0.000)  -0.02
Cr (0.500, 0.500, 0.000)  3.75
Cr (0.250, 0.750, 0.500)  3.75
In (0.161, 0.625, 0.250)  -0.01
In (0.375, 0.411, 0.750)  0.00
In (0.589, 0.125, 0.250)  0.00
In (0.875, 0.839, 0.750)  -0.01

***

Entry 3:
Here is CeNdGd after structural relaxation from Alexandria via LeMat-Bulk. Energies are from PBE.

Summary:
* E_form: 199 meV per atom
* total magnetic moment: 6.49 μB per cell
* final energy: -24.185 eV/cell
* density of states at the Fermi level: 3.50 states/eV/atom

Unit cell a=4.207 b=4.207 c=6.290 alpha=109.54 beta=109.54 gamma=90.00
Site moments in Bohr magnetons follow the coordinates.
Element x y z (fractional)
Gd (0.289, 0.289, 0.577)  -7.14
Nd (0.619, 0.619, 0.238)  0.03
Ce (0.942, 0.942, 0.885)  0.68

***

Entry 4:
Here is Er3MnRh4 after structural relaxation from Alexandria via LeMat-Bulk. Energies are from PBE.

Summary:
* E_form: -715 meV per atom
* total magnetic moment: 4.72 μB per cell
* final energy: -57.984 eV/cell
* density of states at the Fermi level: 0.33 states/eV/atom

Unit cell a=3.339 b=3.339 c=13.054 alpha=90.00 beta=90.00 gamma=90.00
Site moments in Bohr magnetons follow the coordinates.
Element x y z (fractional)
Rh (0.000, 0.000, 0.630)  0.02
Rh (0.000, 0.000, 0.110)  0.29
Rh (0.000, 0.000, 0.370)  0.02
Rh (0.000, 0.000, 0.890)  0.29
Er (0.500, 0.500, 0.500)  0.00
Er (0.500, 0.500, 0.764)  0.00
Er (0.500, 0.500, 0.236)  0.00
Mn (0.500, 0.500, 0.000)  3.91

***

Entry 5:
Here is Pm2H6Ru after structural relaxation from Alexandria via LeMat-Bulk. Energies are from PBE.

Summary:
* total magnetic moment: 0.33 μB per cell
* final energy: -43.573 eV/cell
* density of states at the Fermi level: 0.50 states/eV/atom

Unit cell a=5.150 b=5.150 c=5.150 alpha=60.00 beta=60.00 gamma=60.00
Site moments in Bohr magnetons follow the coordinates.
Element x y z (fractional)
Pm (0.250, 0.250, 0.250)  0.08
Pm (0.750, 0.750, 0.750)  0.08
H (0.760, 0.760, 0.240)  0.00
H (0.240, 0.240, 0.760)  0.00
H (0.240, 0.760, 0.760)  0.00
H (0.760, 0.240, 0.760)  0.00
H (0.760, 0.240, 0.240)  0.00
H (0.240, 0.760, 0.240)  0.00
Ru (0.000, 0.000, 0.000)  0.05

***

Entry 6:
Here is ZrBeW2 after structural relaxation from Alexandria via LeMat-Bulk. Energies are from PBE.

Summary:
* E_form: 273 meV per atom
* total magnetic moment: 0.00 μB per cell
* final energy: -37.090 eV/cell
* density of states at the Fermi level: 0.86 states/eV/atom

Unit cell a=4.820 b=4.820 c=4.594 alpha=75.87 beta=75.87 gamma=38.58
Element x y z (fractional)
W (0.522, 0.522, 0.462)
W (0.978, 0.978, 0.038)
Zr (0.750, 0.750, 0.750)
Be (0.250, 0.250, 0.250)

***

Entry 7:
Here is Ba6ZnRhAu2 after structural relaxation from Alexandria via LeMat-Bulk. Energies are from PBE.

Summary:
* E_form: -362 meV per atom
* total magnetic moment: 0.00 μB per cell
* final energy: -30.332 eV/cell
* density of states at the Fermi level: 0.72 states/eV/atom

Unit cell a=8.183 b=8.182 c=8.753 alpha=62.12 beta=62.13 gamma=60.03
Element x y z (fractional)
Ba (0.540, 0.289, 0.237)
Ba (0.934, 0.539, 0.238)
Ba (0.403, 0.747, 0.767)
Ba (0.289, 0.934, 0.237)
Ba (0.746, 0.084, 0.767)
Ba (0.083, 0.403, 0.767)
Au (0.494, 0.494, 0.517)
Au (0.977, 0.977, 0.068)
Zn (0.852, 0.852, 0.444)
Rh (0.342, 0.343, 0.972)

***

Entry 8:
Here is Ta2VFeB after structural relaxation from Alexandria via LeMat-Bulk. Energies are from PBE.

Summary:
* E_form: 1309 meV per atom
* total magnetic moment: 0.00 μB per cell
* final energy: -41.420 eV/cell
* density of states at the Fermi level: 0.70 states/eV/atom

Unit cell a=4.550 b=4.083 c=4.550 alpha=90.00 beta=90.00 gamma=90.00
Element x y z (fractional)
Fe (0.000, 0.000, 0.000)
V (0.000, 0.500, 0.000)
Ta (0.500, 0.000, 0.000)
Ta (0.000, 0.000, 0.500)
B (0.500, 0.500, 0.500)

***

Entry 9:
Here is YMn2Mo after structural relaxation from Alexandria via LeMat-Bulk. Energies are from PBE.

Summary:
* E_form: 420 meV per atom
* total magnetic moment: 4.56 μB per cell
* final energy: -33.955 eV/cell
* density of states at the Fermi level: 1.34 states/eV/atom

Unit cell a=4.817 b=4.817 c=5.125 alpha=76.86 beta=76.86 gamma=39.35
Site moments in Bohr magnetons follow the coordinates.
Element x y z (fractional)
Mo (0.475, 0.475, 0.599)  -0.75
Mn (0.017, 0.017, 0.931)  2.59
Mn (0.757, 0.757, 0.738)  2.64
Y (0.251, 0.251, 0.232)  -0.07

***

Entry 10:
Here is Ca2DyZn2Pd5 after structural relaxation from Alexandria via LeMat-Bulk. Energies are from PBE.

Summary:
* E_form: -702 meV per atom
* total magnetic moment: 0.00 μB per cell
* final energy: -88.271 eV/cell
* density of states at the Fermi level: 0.45 states/eV/atom

Unit cell a=3.745 b=10.142 c=10.142 alpha=90.00 beta=90.00 gamma=90.00
Element x y z (fractional)
Pd (0.500, 0.431, 0.289)
Pd (0.500, 0.069, 0.789)
Pd (0.500, 0.000, 0.500)
Pd (0.500, 0.569, 0.711)
Pd (0.500, 0.211, 0.069)
Pd (0.500, 0.789, 0.931)
Pd (0.500, 0.931, 0.211)
Pd (0.500, 0.289, 0.569)
Pd (0.500, 0.500, 0.000)
Pd (0.500, 0.711, 0.431)
Zn (0.000, 0.878, 0.378)
Zn (0.000, 0.378, 0.122)
Zn (0.000, 0.622, 0.878)
Zn (0.000, 0.122, 0.622)
Ca (0.000, 0.674, 0.174)
Ca (0.000, 0.174, 0.326)
Ca (0.000, 0.826, 0.674)
Ca (0.000, 0.326, 0.826)
Dy (0.000, 0.000, 0.000)
Dy (0.000, 0.500, 0.500)

***

Entry 11:
Here is InRuSN2 after structural relaxation from Alexandria via LeMat-Bulk. Energies are from PBE.

Summary:
* total magnetic moment: 0.22 μB per cell
* final energy: -29.879 eV/cell
* density of states at the Fermi level: 0.64 states/eV/atom
* E_form (uncorrected): 583 meV per atom

Unit cell a=3.847 b=3.847 c=5.143 alpha=90.00 beta=90.00 gamma=90.00
Site moments in Bohr magnetons follow the coordinates.
Element x y z (fractional)
In (0.500, 0.500, 0.500)  0.00
N (0.000, 0.500, 0.000)  0.09
N (0.500, 0.000, 0.000)  0.09
S (0.000, 0.000, 0.500)  0.00
Ru (0.000, 0.000, 0.000)  -0.02

***

Entry 12:
Here is LaCo2Ru after structural relaxation from Alexandria via LeMat-Bulk. Energies are from PBE.

Summary:
* E_form: 357 meV per atom
* total magnetic moment: 3.44 μB per cell
* final energy: -26.988 eV/cell
* density of states at the Fermi level: 1.19 states/eV/atom

Unit cell a=4.419 b=4.420 c=3.359 alpha=90.00 beta=90.00 gamma=90.00
Site moments in Bohr magnetons follow the coordinates.
Element x y z (fractional)
Co (0.000, 0.000, 0.000)  1.38
Co (0.500, 0.500, 0.000)  1.38
Ru (0.000, 0.500, 0.500)  1.00
La (0.500, 0.000, 0.500)  -0.20

***

Entry 13:
Here is La2Ru2Cl after structural relaxation from Alexandria via LeMat-Bulk. Energies are from PBE.

Summary:
* total magnetic moment: 0.00 μB per cell
* final energy: -34.251 eV/cell
* density of states at the Fermi level: 0.86 states/eV/atom
* E_form (uncorrected): -800 meV per atom

Unit cell a=4.365 b=4.365 c=8.562 alpha=89.62 beta=104.18 gamma=122.18
Element x y z (fractional)
Ru (0.652, 0.840, 0.493)
Ru (0.348, 0.160, 0.507)
Cl (0.000, 0.000, 0.000)
La (0.149, 0.583, 0.732)
La (0.851, 0.417, 0.268)